{"formula": "CdWIO6", "functional": "PBE+U", "state": "relaxed", "crystal_system": "trigonal", "space_group": "P-31c (163)", "final_energy_ev_per_atom": -5.349, "n_ef_per_ev_fu": 1.694, "lattice": [[5.621, 0.000, 0.000], [-2.810, 4.868, 0.000], [0.000, 0.000, 9.344]], "species": ["Cd", "Cd", "W", "W", "I", "I", "O", "O", "O", "O", "O", "O", "O", "O", "O", "O", "O", "O"], "fractional_positions": [[0.000, 0.000, 0.000], [0.000, 0.000, 0.500], [0.333, 0.667, 0.250], [0.667, 0.333, 0.750], [0.333, 0.667, 0.750], [0.667, 0.333, 0.250], [0.034, 0.373, 0.139], [0.034, 0.661, 0.361], [0.339, 0.373, 0.361], [0.339, 0.966, 0.139], [0.373, 0.034, 0.639], [0.373, 0.339, 0.861], [0.627, 0.661, 0.139], [0.627, 0.966, 0.361], [0.661, 0.034, 0.861], [0.661, 0.627, 0.639], [0.966, 0.339, 0.639], [0.966, 0.627, 0.861]]}